4
Lattice="1.812 1.046 7.325 -1.812 1.046 7.325 0.000 -2.093 7.325" Properties=species:S:1:pos:R:3 comment="ScAs2Au (GGA-PBE, optimized geometry)" e_tot_ev_per_atom=-4.985 formation_enthalpy_0k_ev_per_fu=-1.03 volume_a3_per_cell=83.3 space_group=R3m pbc="T T T"
Sc 0.000 0.000 0.000
As 0.000 0.000 5.407
As 0.000 0.000 11.092
Au 0.000 0.000 16.493